(one)
A relaxed structure of CaPt3I, computed with PBE.

Summary:
Total magnetic moment (μB/atom): 0.00
ρ (Mg/m³): 9.8

```
data_CaPt3I
_cell_length_a 5.028
_cell_length_b 5.028
_cell_length_c 5.028
_cell_angle_alpha 90.00
_cell_angle_beta 90.00
_cell_angle_gamma 90.00
_symmetry_space_group_name_H-M 'P m -3 m'
_symmetry_Int_Tables_number 221
_symmetry_space_group_name_Hall '-P 4 2 3'
loop_
_atom_site_label
_atom_site_type_symbol
_atom_site_fract_x
_atom_site_fract_y
_atom_site_fract_z
_atom_site_occupancy
Ca1 Ca 0.000 0.000 0.000 1
Pt1 Pt 0.000 0.500 0.500 1
I1 I 0.500 0.500 0.500 1
```



(two)
A relaxed structure of CaPt3I, computed with PBE.

Summary:
Total magnetic moment (μB/atom): 0.00
ρ (Mg/m³): 9.7

```
data_CaPt3I
_cell_length_a 5.058
_cell_length_b 5.058
_cell_length_c 5.058
_cell_angle_alpha 90.00
_cell_angle_beta 90.00
_cell_angle_gamma 90.00
_symmetry_space_group_name_H-M 'P m -3 m'
_symmetry_Int_Tables_number 221
_symmetry_space_group_name_Hall '-P 4 2 3'
loop_
_atom_site_label
_atom_site_type_symbol
_atom_site_fract_x
_atom_site_fract_y
_atom_site_fract_z
_atom_site_occupancy
Ca1 Ca 0.000 0.000 0.000 1
Pt1 Pt 0.000 0.000 0.500 1
I1 I 0.500 0.500 0.500 1
```



It comes down to (one), which is 0.829 eV/atom more stable than the next structure.